Record 1
Na3ErTi2Nb2O12 | SCAN | single point on PBEsol structure

Computed properties:
spin magnetization: 0.00 μB/cell
formation energy without anion corrections: -2.99 eV/atom
calculated density: 5.18 g/cm³
DOS(E_F): 0.0 states/eV per cell

Structure (POSCAR):
```
Na3ErTi2Nb2O12
1.0
5.367 0.008 0.000
0.074 5.520 -0.007
0.007 0.011 7.683
O Na Ti Er Nb
12 3 2 1 2
Cartesian
3.906 4.042 0.412
1.676 1.680 7.374
3.930 4.034 3.416
1.115 4.461 3.998
1.638 1.722 4.124
2.136 0.194 1.900
1.143 4.467 7.524
4.348 1.117 0.418
0.462 2.934 1.934
3.103 5.424 5.787
4.365 1.148 3.423
4.991 2.738 5.727
5.344 0.050 5.776
2.779 2.548 1.920
2.698 2.958 5.749
2.694 5.447 0.045
0.059 2.647 3.801
5.388 5.150 1.919
2.721 5.507 3.903
0.063 2.649 7.613
```

---

Record 2
NaErP4O12 | SCAN | single point on PBEsol structure

Computed properties:
spin magnetization: 0.00 μB/cell
formation energy without anion corrections: -2.72 eV/atom
calculated density: 3.74 g/cm³
DOS(E_F): 0.0 states/eV per cell

Structure (POSCAR):
```
NaErP4O12
1.0
7.155 -0.015 0.000
-0.108 9.645 0.000
0.000 0.000 13.012
O P Na Er
48 16 4 4
Cartesian
4.055 1.547 8.170
4.007 6.750 7.989
1.658 0.816 4.363
2.957 1.930 11.944
1.924 1.027 9.254
5.390 8.814 8.648
4.197 2.876 2.178
1.218 1.431 1.734
1.989 8.665 1.968
1.997 5.705 5.030
5.123 2.782 12.849
5.448 5.841 10.263
5.518 6.141 12.751
2.993 8.083 4.841
1.492 7.612 6.668
5.123 8.603 3.758
2.850 6.753 10.834
5.181 5.631 2.142
1.599 3.788 2.748
2.305 3.384 8.240
0.483 1.936 11.529
5.829 8.198 11.277
4.490 3.411 10.554
6.480 6.745 7.573
6.188 1.388 4.049
5.058 0.964 11.043
0.423 6.377 11.347
1.419 8.755 11.535
6.482 1.923 8.683
1.866 3.999 10.869
6.624 3.253 1.665
0.565 7.706 4.328
1.530 3.488 0.261
5.050 3.925 7.982
1.924 6.848 0.163
5.629 0.875 1.476
1.426 5.794 8.474
6.564 7.694 1.483
0.859 8.241 8.963
5.053 8.303 6.245
2.557 6.218 2.457
4.742 6.246 4.771
5.555 2.018 6.343
4.091 7.700 1.068
1.994 1.327 6.766
3.040 2.879 5.023
5.621 3.835 4.537
0.567 2.885 5.438
4.561 7.727 4.833
5.336 2.455 7.864
5.343 2.344 1.358
2.581 7.371 1.511
6.010 6.718 11.339
5.406 6.784 1.213
1.642 2.846 11.799
2.487 1.903 8.178
6.212 2.540 4.995
4.466 2.259 11.501
1.037 2.912 1.672
1.882 1.969 5.293
0.835 7.089 8.016
5.165 7.660 7.719
1.712 7.175 5.147
1.704 7.285 11.653
-0.055 5.417 3.579
3.577 0.587 2.926
7.102 4.212 9.432
3.470 9.042 10.085
-0.016 9.430 2.872
7.064 0.200 10.139
3.615 4.600 3.634
3.432 5.030 9.378
```

---

Record 3
NaErS2O8 | SCAN | single point on PBEsol structure

Computed properties:
spin magnetization: 0.00 μB/cell
formation energy without anion corrections: -2.34 eV/atom
calculated density: 4.20 g/cm³
DOS(E_F): 0.0 states/eV per cell

Structure (POSCAR):
```
NaErS2O8
1.0
-3.877 -0.896 -2.359
1.491 -6.656 0.078
-3.729 -0.731 8.878
S Er O Na
4 2 16 2
Cartesian
-2.481 -2.246 4.943
-0.421 -1.838 0.332
-5.694 -6.445 6.266
-3.634 -6.038 1.654
-5.211 -2.847 5.808
-0.904 -5.436 0.790
-3.103 -3.581 5.211
-4.672 -7.444 5.909
-1.925 -2.137 3.605
-1.443 -0.840 0.689
-2.501 -6.986 1.413
-3.856 -2.521 7.733
-2.259 -5.762 -1.136
-5.284 -2.889 3.584
-3.006 -2.437 -1.363
-3.012 -4.702 1.386
-3.109 -5.846 7.961
-4.191 -6.147 2.992
-3.615 -1.297 5.185
-0.831 -5.394 3.013
-0.921 -3.169 0.716
-5.194 -5.114 5.881
-2.760 -5.804 4.897
-3.355 -2.479 1.700
```

---

Record 4
NaErTi2O6 | SCAN | single point on PBEsol structure

Computed properties:
spin magnetization: 0.00 μB/cell
formation energy without anion corrections: -3.35 eV/atom
calculated density: 5.88 g/cm³
DOS(E_F): 0.0 states/eV per cell

Structure (POSCAR):
```
NaErTi2O6
1.0
-0.186 -4.312 -2.973
3.171 2.437 -3.734
6.123 -2.656 3.467
O Ti Na Er
12 4 2 2
Cartesian
7.859 -0.697 -1.505
5.876 -3.985 -2.093
0.713 -3.173 -3.690
3.490 -2.950 -3.444
4.293 0.850 -3.524
1.765 -3.784 -1.264
4.322 -4.893 0.184
2.534 -0.789 -1.899
2.351 -0.603 -4.613
5.280 -1.260 -2.132
6.270 -2.410 0.217
3.760 -1.116 0.663
6.843 -2.317 -1.591
5.237 -5.607 -1.338
2.199 -4.289 -3.059
3.758 -0.979 -3.339
2.269 1.721 -2.688
3.869 -2.814 -0.830
5.494 -3.553 -4.267
0.465 -1.653 -2.088
```

---

Record 5
NaErP2S6 | SCAN | single point on PBEsol structure

Computed properties:
spin magnetization: 0.00 μB/cell
formation energy without anion corrections: -1.07 eV/atom
calculated density: 3.44 g/cm³
DOS(E_F): 0.0 states/eV per cell

Structure (POSCAR):
```
NaErP2S6
1.0
6.837 -0.040 0.000
0.238 7.013 -0.049
0.317 0.463 8.947
S Er Na P
12 2 2 4
Cartesian
6.217 5.991 4.975
2.218 4.981 0.606
5.062 2.288 5.021
6.167 3.713 2.082
2.331 5.148 3.878
1.226 3.724 6.817
6.223 6.239 8.462
1.171 1.198 0.437
5.176 2.456 8.292
2.871 7.133 6.611
4.522 0.304 2.288
1.177 1.446 3.924
6.962 1.138 6.687
0.432 6.299 2.212
4.021 4.537 6.468
3.373 2.899 2.431
2.928 7.184 8.633
0.779 4.539 5.032
4.466 0.253 0.266
6.614 2.897 3.867
```

---

Record 6
NaErTl2 | SCAN | single point on PBEsol structure

Computed properties:
spin magnetization: 0.00 μB/cell
calculated density: 9.95 g/cm³
DOS(E_F): 0.9 states/eV per cell
formation energy: -37.4 kJ per mole of atoms

Structure (POSCAR):
```
NaErTl2
1.0
-2.053 4.774 0.362
-5.076 0.729 -0.920
-3.219 1.160 3.929
Tl Na Er
2 1 1
Cartesian
-7.761 4.998 2.528
-2.587 1.666 0.843
0.000 0.000 0.000
-5.174 3.332 1.686
```

---

Record 7
Er2Nb2S7O30 | SCAN | single point on PBEsol structure

Computed properties:
spin magnetization: 4.05 μB/cell
formation energy without anion corrections: -1.98 eV/atom
calculated density: 3.65 g/cm³
DOS(E_F): 2.8 states/eV per cell

Structure (POSCAR):
```
Er2Nb2S7O30
1.0
-3.556 1.996 5.678
-2.497 -12.089 2.687
10.586 -0.662 6.861
O S Er Nb
60 14 4 4
Cartesian
4.154 -1.381 9.874
5.690 -5.920 12.345
0.174 -8.969 10.674
-0.735 -7.804 4.551
-2.571 -1.061 6.326
4.540 -10.486 7.222
4.913 -10.521 12.930
4.411 -8.181 13.202
-1.553 -9.678 6.408
2.087 -6.510 6.047
0.693 -3.271 3.403
1.274 -10.703 11.972
1.029 -4.005 8.207
-1.017 -1.586 4.549
-1.220 -3.191 7.922
5.282 -9.017 11.106
-1.673 -8.221 8.630
-0.241 -5.955 3.138
-2.020 -7.509 2.570
4.358 -2.971 7.752
7.487 -1.549 6.276
-1.909 0.626 4.739
0.692 1.391 7.356
0.329 -0.909 6.864
2.919 -3.101 5.813
-0.678 -5.436 7.199
-2.665 -10.660 4.531
2.045 -10.717 9.028
2.756 -0.187 5.772
6.875 -4.763 10.606
-2.608 -5.841 5.047
2.978 -1.943 3.240
4.048 -4.664 9.886
1.926 -8.808 5.346
4.814 -2.892 11.945
-3.137 -3.721 6.045
8.728 -0.953 8.252
0.949 0.004 3.487
3.060 -6.050 11.607
7.343 -6.241 7.987
5.894 -8.636 8.546
1.465 -11.120 6.733
2.523 -8.901 11.048
0.444 -7.934 7.046
6.951 -3.894 7.989
9.122 -4.687 8.555
5.301 -3.458 5.578
-3.864 -8.219 6.183
-0.260 -10.718 4.649
-3.263 -6.186 8.046
3.977 -5.103 6.736
5.050 -0.747 5.330
1.792 -0.343 8.654
4.047 -7.071 9.649
4.749 -11.411 9.880
1.975 -5.890 9.462
7.234 -1.881 10.903
2.779 -8.306 7.555
6.356 -1.227 8.389
0.218 -3.532 6.007
-2.216 -0.796 4.856
1.255 -9.228 11.685
4.084 -3.669 6.489
-1.555 -10.806 5.468
-0.128 -4.088 7.321
0.510 0.029 7.964
3.290 -5.896 10.097
5.378 -9.187 12.561
-0.639 -7.403 3.154
4.064 0.359 5.394
7.461 -0.719 7.567
-3.575 -4.738 5.059
7.942 -4.905 7.650
1.823 -7.856 6.546
1.278 -1.761 4.923
3.917 -9.364 9.249
5.642 -3.020 9.697
-1.769 -7.363 6.584
7.427 -8.265 7.742
0.510 -4.399 2.051
-1.817 -8.678 10.335
2.948 -0.165 10.326
```

---

Record 8
NdEr3 | SCAN | single point on PBEsol structure

Computed properties:
spin magnetization: 0.00 μB/cell
calculated density: 8.89 g/cm³
polymorph energy (0 for the lowest one): 0 meV per atom
DOS(E_F): 12.4 states/eV per cell
formation energy: 1.3 kJ per mole of atoms

Structure (POSCAR):
```
NdEr3
1.0
5.561 0.000 0.000
0.000 7.078 0.000
0.000 -3.539 6.130
Nd Er
2 6
Cartesian
4.171 0.000 4.087
1.390 3.539 2.043
4.171 3.539 4.102
1.390 1.782 5.116
1.390 -1.782 5.116
1.390 0.000 2.028
4.171 1.757 1.014
4.171 5.322 1.014
```

---

Record 9
NdEr3 | SCAN | single point on PBEsol structure

Computed properties:
spin magnetization: 0.03 μB/cell
calculated density: 9.03 g/cm³
polymorph energy (0 for the lowest one): 12 meV per atom
DOS(E_F): 5.0 states/eV per cell
formation energy: 2.4 kJ per mole of atoms

Structure (POSCAR):
```
NdEr3
1.0
4.916 0.000 0.000
0.000 4.916 0.000
0.000 0.000 4.916
Er Nd
3 1
Cartesian
2.458 0.000 0.000
0.000 0.000 2.458
0.000 2.458 0.000
2.458 2.458 2.458
```

---

Record 10
Nd3ErW6O24 | SCAN | single point on PBEsol structure

Computed properties:
spin magnetization: 0.00 μB/cell
formation energy without anion corrections: -2.81 eV/atom
calculated density: 7.26 g/cm³
DOS(E_F): 0.0 states/eV per cell

Structure (POSCAR):
```
Nd3ErW6O24
1.0
-3.217 -1.584 -5.890
-3.514 -2.207 5.522
-2.022 11.247 0.526
W O Nd Er
6 24 3 1
Cartesian
-2.731 -1.093 1.526
-2.139 1.918 -1.268
-5.908 8.481 -1.342
-6.626 5.545 1.462
-4.901 2.972 -4.070
-3.919 4.517 4.185
-5.773 4.026 -2.421
-3.506 0.353 0.781
-4.053 9.020 3.697
-7.743 6.655 0.552
-0.998 0.720 -0.495
-5.177 7.063 -0.517
-4.426 9.469 -1.862
-2.474 5.535 0.590
-6.356 1.969 -0.455
-3.342 2.966 -0.381
-4.234 6.771 -3.092
-3.032 3.454 2.551
-4.101 1.627 -4.972
-4.215 -2.049 2.102
-3.164 1.040 -2.412
-5.346 3.619 3.421
-4.590 0.764 3.311
-4.752 -1.911 -0.598
-5.473 4.465 0.562
-4.621 -1.642 -3.488
-5.620 6.500 2.570
-3.856 9.373 0.752
-3.467 3.856 -3.318
-4.761 5.870 5.025
-2.840 -0.295 -4.377
-4.806 2.249 1.431
-3.981 5.180 -1.287
-5.865 7.779 4.506
```

---

Record 11
Nd5ErS8 | SCAN | single point on PBEsol structure

Computed properties:
spin magnetization: 0.00 μB/cell
formation energy without anion corrections: -2.29 eV/atom
calculated density: 6.42 g/cm³
DOS(E_F): 7.5 states/eV per cell

Structure (POSCAR):
```
Nd5ErS8
1.0
7.272 0.007 0.000
-2.362 6.877 0.000
-2.455 -3.442 5.916
Er Nd S
1 5 8
Cartesian
-1.181 3.439 2.958
2.471 2.137 3.725
6.032 -0.403 2.191
2.455 3.442 0.000
3.644 -1.306 5.145
2.395 -0.415 0.771
4.171 1.735 1.478
0.472 1.774 1.518
5.148 4.604 0.646
-0.931 -2.419 4.398
1.480 4.621 2.389
1.432 -0.538 3.528
0.222 2.925 5.270
-2.173 1.066 4.438
```

---

Record 12
NdErTl2 | SCAN | single point on PBEsol structure

Computed properties:
spin magnetization: 0.00 μB/cell
calculated density: 11.21 g/cm³
DOS(E_F): 3.1 states/eV per cell
formation energy: -52.4 kJ per mole of atoms

Structure (POSCAR):
```
NdErTl2
1.0
5.324 0.000 0.000
2.662 4.611 0.000
2.662 1.537 4.347
Er Nd Tl
1 1 2
Cartesian
5.324 3.074 2.174
0.000 0.000 0.000
7.986 4.611 3.260
2.662 1.537 1.087
```